The following is a PBE calculation of a relaxed Rb2TlFeSn crystal, from Alexandria via LeMat-Bulk.

Fermi-level density of states = 3.32 states/eV/cell
ρ = 3.9 g/cm3
DFT formation energy = 0.779 eV per atom

abc: 6.815 6.815 5.078
angles: 90.00 90.00 90.00
Fractional positions:
Rb 0.000 0.500 0.000
Rb 0.500 0.000 0.000
Tl 0.000 0.000 0.000
Fe 0.000 0.000 0.500
Sn 0.500 0.500 0.500